Compound: ZrSi3Os3
Source: Alexandria
Functional: PBE-GGA
Structure: relaxed

Geometry as extended XYZ:
```
14
Lattice="6.4734 0.0000 0.0000 0.0000 6.4734 0.0000 0.0000 0.0000 6.4734" Properties=species:S:1:pos:R:3 pbc="T T T"
Zr 0.0000 0.0000 0.0000
Zr 3.2367 3.2367 3.2367
Si 0.0000 1.6184 3.2367
Si 0.0000 4.8551 3.2367
Si 1.6184 3.2367 0.0000
Si 3.2367 0.0000 1.6184
Si 3.2367 0.0000 4.8551
Si 4.8551 3.2367 0.0000
Os 0.0000 3.2367 1.6184
Os 0.0000 3.2367 4.8551
Os 1.6184 0.0000 3.2367
Os 3.2367 1.6184 0.0000
Os 3.2367 4.8551 0.0000
Os 4.8551 0.0000 3.2367
```

Summary:
- SG: No. 223
- E_form (uncorrected): 3.26 eV/f.u.
- DFT total energy: -110.5 eV for the cell shown